1.
VASP calculation (PBEsol) on crystalline ScAgRu2 at its relaxed geometry.

Its energy above the most stable polymorph in this dataset is 0.118 eV per atom. Its volume is 15.476 A^3/atom.

Cell and atoms, written as POSCAR:
```
ScAgRu2
1.0
2.748 0.000 0.000
0.000 2.748 0.000
0.000 0.000 8.200
Ag Ru Sc
1 2 1
Direct
0.500 0.500 0.500 Ag
0.000 0.000 0.248 Ru
0.000 0.000 0.752 Ru
0.500 0.500 0.000 Sc
```


2.
VASP calculation (PBEsol) on crystalline MnTc2Ag at its relaxed geometry.

Its energy above the most stable polymorph in this dataset is 0.099 eV per atom. Its volume is 14.372 A^3/atom.

Cell and atoms, written as POSCAR:
```
MnTc2Ag
1.0
4.332 0.000 0.000
2.166 3.752 0.000
2.166 1.251 3.537
Mn Ag Tc
1 1 2
Direct
0.250 0.250 0.250 Mn
0.500 0.500 0.500 Ag
0.000 0.000 0.000 Tc
0.750 0.750 0.750 Tc
```


3.
VASP calculation (PBEsol) on crystalline La2TlSbAs at its relaxed geometry.

The uncorrected formation energy is 120 meV/atom. Its volume is 35.328 A^3/atom.

Cell and atoms, written as POSCAR:
```
La2TlSbAs
1.0
4.929 0.000 0.000
0.000 5.986 0.000
0.000 0.000 5.986
La As Sb Tl
2 1 1 1
Direct
0.000 0.500 0.000 La
0.000 0.000 0.500 La
0.500 0.000 0.000 As
0.500 0.500 0.500 Sb
0.000 0.000 0.000 Tl
```


4.
VASP calculation (PBEsol) on crystalline Sr2TlOsRh at its relaxed geometry.

As for the total energy: -4.337 eV per atom. Its volume is 31.081 A^3/atom.

Cell and atoms, written as POSCAR:
```
Sr2TlOsRh
1.0
5.114 0.000 0.000
0.000 5.512 0.000
0.000 0.000 5.512
Sr Os Rh Tl
2 1 1 1
Direct
0.000 0.000 0.500 Sr
0.000 0.500 0.000 Sr
0.000 0.000 0.000 Os
0.500 0.500 0.500 Rh
0.500 0.000 0.000 Tl
```


5.
VASP calculation (PBEsol) on crystalline Nd5CoSi2 at its relaxed geometry.

The uncorrected formation energy is -406 meV/atom. Its volume is 24.643 A^3/atom.

Cell and atoms, written as POSCAR:
```
Nd5CoSi2
1.0
7.772 0.059 0.000
-0.026 7.773 0.000
-3.873 -3.916 6.526
Si Nd Co
4 10 2
Direct
0.116 0.116 0.000 Si
0.750 0.250 0.500 Si
0.250 0.750 0.500 Si
0.884 0.884 0.000 Si
0.327 0.955 0.282 Nd
0.480 0.480 0.289 Nd
0.000 0.500 0.000 Nd
0.500 0.000 0.000 Nd
0.045 0.673 0.718 Nd
0.809 0.809 0.289 Nd
0.520 0.520 0.711 Nd
0.955 0.327 0.282 Nd
0.191 0.191 0.711 Nd
0.673 0.045 0.718 Nd
0.609 0.391 0.000 Co
0.391 0.609 0.000 Co
```


6.
VASP calculation (PBEsol) on crystalline GaOs3Au at its relaxed geometry.

As for the total energy: -6.675 eV per atom. Its volume is 17.618 A^3/atom.

Cell and atoms, written as POSCAR:
```
GaOs3Au
1.0
-1.312 2.361 3.536
-3.993 -1.955 -0.176
1.460 -3.225 2.695
Os Ga Au
3 1 1
Direct
0.000 0.500 0.000 Os
0.000 0.000 0.500 Os
0.500 0.000 0.000 Os
0.000 0.000 0.000 Ga
0.500 0.500 0.500 Au
```


7.
VASP calculation (PBEsol) on crystalline LiLuTl2 at its relaxed geometry.

As for the total energy: -3.375 eV per atom. Its volume is 22.668 A^3/atom.

Cell and atoms, written as POSCAR:
```
LiLuTl2
1.0
-0.297 -4.222 2.741
-0.853 -4.423 -2.267
3.673 -3.445 -0.270
Lu Li Tl
1 1 2
Direct
0.500 0.500 0.500 Lu
0.000 0.000 0.000 Li
0.750 0.750 0.750 Tl
0.250 0.250 0.250 Tl
```


8.
VASP calculation (PBEsol) on crystalline Bi12BO20 at its relaxed geometry.

The uncorrected formation energy is -1283 meV/atom. Its volume is 14.783 A^3/atom.

Cell and atoms, written as POSCAR:
```
Bi12BO20
1.0
-2.468 -8.113 -1.367
6.292 2.040 -5.479
2.851 0.806 8.062
Bi O B
12 20 1
Direct
0.695 0.857 0.184 Bi
0.511 0.816 0.672 Bi
0.857 0.184 0.695 Bi
0.161 0.305 0.489 Bi
0.305 0.489 0.161 Bi
0.184 0.695 0.857 Bi
0.328 0.143 0.839 Bi
0.489 0.161 0.305 Bi
0.143 0.839 0.328 Bi
0.816 0.672 0.511 Bi
0.672 0.511 0.816 Bi
0.839 0.328 0.143 Bi
0.000 0.000 0.825 O
0.608 0.382 0.251 O
0.251 0.608 0.382 O
0.357 0.749 0.131 O
0.000 0.405 0.000 O
0.595 0.595 0.595 O
0.869 0.618 0.226 O
0.382 0.251 0.608 O
0.825 0.000 0.000 O
0.000 0.000 0.405 O
0.749 0.131 0.357 O
0.618 0.226 0.869 O
0.131 0.357 0.749 O
0.000 0.825 0.000 O
0.392 0.643 0.774 O
0.226 0.869 0.618 O
0.175 0.175 0.175 O
0.643 0.774 0.392 O
0.405 0.000 0.000 O
0.774 0.392 0.643 O
0.000 0.000 0.000 B
```


How do the records compare in mass density? In the order shown, they have 9.52, 10.36, 6.38, 7.19, 7.04, 15.79, 10.82, 9.66 Mg/m³.